[1]
LaIn3: optimized geometry, PBE-GGA.

Calculated values
For the formation energy, the calculation gives -0.295 eV per atom.

Unit cell a=3.934 b=3.934 c=7.303 alpha=90.00 beta=90.00 gamma=90.00
Positions (direct):
In  0.000  0.000  0.034
In  0.500  0.500  0.250
In  0.000  0.000  0.466
La  0.500  0.500  0.750

---

[2]
LaCe2Pm: optimized geometry, PBE-GGA.

Calculated values
For the formation energy, the calculation gives 0.113 eV per atom.

Unit cell a=5.117 b=4.973 c=4.973 alpha=90.00 beta=90.00 gamma=90.00
Positions (direct):
Ce  0.000  0.000  0.500
Ce  0.000  0.500  0.000
Pm  0.500  0.500  0.500
La  0.500  0.000  0.000

---

[3]
CsLi3Os: optimized geometry, PBE-GGA.

Calculated values
For the formation energy, the calculation gives 1.788 eV per atom.

Unit cell a=4.756 b=4.756 c=4.756 alpha=90.00 beta=90.00 gamma=90.00
Positions (direct):
Li  0.000  0.000  0.500
Li  0.000  0.500  0.000
Li  0.500  0.000  0.000
Cs  0.000  0.000  0.000
Os  0.500  0.500  0.500

---

[4]
HoCuPd: optimized geometry, PBE-GGA.

Calculated values
For the formation energy, the calculation gives -0.614 eV per atom.

Unit cell a=4.280 b=5.277 c=5.447 alpha=90.00 beta=90.00 gamma=113.92
Positions (direct):
Ho  0.204  0.408  0.750
Ho  0.796  0.592  0.250
Pd  0.093  0.187  0.250
Pd  0.907  0.813  0.750
Cu  0.500  0.000  0.500
Cu  0.500  0.000  0.000

---

[5]
Ce2Ni12P3Pt: optimized geometry, PBE-GGA.

Calculated values
For the formation energy, the calculation gives -0.121 eV per atom.

Unit cell a=6.425 b=6.425 c=6.425 alpha=79.10 beta=79.10 gamma=79.10
Positions (direct):
Ni  0.356  0.825  0.825
Ni  0.644  0.175  0.175
Ni  0.335  0.897  0.335
Ni  0.335  0.335  0.897
Ni  0.175  0.175  0.644
Ni  0.897  0.335  0.335
Ni  0.103  0.665  0.665
Ni  0.665  0.103  0.665
Ni  0.825  0.356  0.825
Ni  0.825  0.825  0.356
Ni  0.175  0.644  0.175
Ni  0.665  0.665  0.103
Pt  0.000  0.000  0.000
P  0.000  0.000  0.500
P  0.500  0.000  0.000
P  0.000  0.500  0.000
Ce  0.618  0.618  0.618
Ce  0.382  0.382  0.382

---

[6]
ZnRhPb3: optimized geometry, PBE-GGA.

Calculated values
For the formation energy, the calculation gives 0.792 eV per atom.

Unit cell a=5.223 b=5.223 c=5.223 alpha=90.00 beta=90.00 gamma=90.00
Positions (direct):
Rh  0.500  0.500  0.500
Pb  0.000  0.000  0.500
Pb  0.500  0.000  0.000
Pb  0.000  0.500  0.000
Zn  0.000  0.000  0.000

---

[7]
ZrI2NCl: optimized geometry, PBE-GGA.

Calculated values
Its uncorrected formation energy is -7.3 kJ/mol of atoms.

Unit cell a=5.901 b=5.901 c=4.086 alpha=90.00 beta=90.00 gamma=90.00
Positions (direct):
Zr  0.000  0.000  0.000
N  0.000  0.000  0.500
I  0.500  0.000  0.000
I  0.000  0.500  0.000
Cl  0.500  0.500  0.500

---

[8]
TaNiHgRu2: optimized geometry, PBE-GGA.

Calculated values
For the formation energy, the calculation gives 2.098 eV per atom.

Unit cell a=4.845 b=4.441 c=4.845 alpha=90.00 beta=90.00 gamma=90.00
Positions (direct):
Ni  0.000  0.500  0.000
Hg  0.000  0.000  0.000
Ru  0.500  0.000  0.000
Ru  0.000  0.000  0.500
Ta  0.500  0.500  0.500

---

[9]
Ce2PmFe9: optimized geometry, PBE-GGA.

Calculated values
For the formation energy, the calculation gives 0.028 eV per atom.

Unit cell a=4.977 b=4.977 c=8.841 alpha=73.65 beta=73.65 gamma=60.00
Positions (direct):
Ce  0.858  0.858  0.425
Ce  0.142  0.142  0.575
Fe  0.420  0.420  0.243
Fe  0.580  0.084  0.757
Fe  0.916  0.420  0.243
Fe  0.580  0.580  0.757
Fe  0.332  0.332  0.003
Fe  0.668  0.668  0.997
Fe  0.420  0.916  0.243
Fe  0.084  0.580  0.757
Fe  0.500  0.500  0.500
Pm  0.000  0.000  0.000

---

[10]
LaBeGa3: optimized geometry, PBE-GGA.

Calculated values
For the formation energy, the calculation gives 1.317 eV per atom.

Unit cell a=5.736 b=5.736 c=5.736 alpha=90.00 beta=90.00 gamma=90.00
Positions (direct):
Ga  0.500  0.000  0.000
Ga  0.000  0.000  0.500
Ga  0.000  0.500  0.000
Be  0.500  0.500  0.500
La  0.000  0.000  0.000

---

[11]
Gd2MgSi: optimized geometry, PBE-GGA.

Calculated values
Its uncorrected formation energy is -32.9 kJ/mol of atoms.

Unit cell a=4.130 b=4.820 c=4.820 alpha=90.00 beta=90.00 gamma=90.00
Positions (direct):
Mg  0.500  0.000  0.000
Gd  0.000  0.000  0.500
Gd  0.000  0.500  0.000
Si  0.500  0.500  0.500

---

[12]
BaOs2: optimized geometry, PBE-GGA.

Calculated values
For the formation energy, the calculation gives 1.308 eV per atom.

Unit cell a=3.909 b=6.171 c=7.568 alpha=90.00 beta=90.00 gamma=90.00
Positions (direct):
Os  0.249  0.500  0.082
Os  0.251  0.000  0.582
Os  0.751  0.500  0.918
Os  0.749  0.000  0.418
Ba  0.000  0.000  0.000
Ba  0.500  0.500  0.500

---

[13]
GdYErAl: optimized geometry, PBE-GGA.

Calculated values
For the formation energy, the calculation gives -0.078 eV per atom.

Unit cell a=5.349 b=5.349 c=5.349 alpha=60.00 beta=60.00 gamma=60.00
Positions (direct):
Al  0.500  0.500  0.500
Y  0.750  0.750  0.750
Er  0.000  0.000  0.000
Gd  0.250  0.250  0.250

---

[14]
La5Pr3H12: optimized geometry, PBE-GGA.

Calculated values
The value obtained for the calculated total energy is -4.3870 eV/atom.

Unit cell a=12.047 b=12.047 c=12.047 alpha=109.47 beta=109.47 gamma=109.47
Positions (direct):
H  0.930  0.584  0.158
H  0.154  0.728  0.570
H  0.930  0.346  0.272
H  0.842  0.925  0.272
H  0.084  0.925  0.154
H  0.772  0.430  0.346
H  0.575  0.846  0.416
H  0.772  0.342  0.925
H  0.084  0.158  0.430
H  0.658  0.228  0.575
H  0.272  0.846  0.930
H  0.075  0.916  0.346
H  0.346  0.930  0.772
H  0.416  0.070  0.342
H  0.425  0.272  0.342
H  0.846  0.272  0.430
H  0.070  0.416  0.842
H  0.416  0.346  0.575
H  0.272  0.425  0.842
H  0.654  0.584  0.925
H  0.728  0.154  0.070
H  0.916  0.842  0.570
H  0.070  0.654  0.728
H  0.658  0.430  0.584
H  0.346  0.416  0.075
H  0.570  0.342  0.916
H  0.154  0.425  0.084
H  0.430  0.658  0.084
H  0.584  0.654  0.425
H  0.916  0.075  0.846
H  0.430  0.772  0.846
H  0.342  0.570  0.416
H  0.570  0.228  0.154
H  0.075  0.158  0.228
H  0.575  0.728  0.658
H  0.158  0.075  0.728
H  0.158  0.084  0.930
H  0.425  0.154  0.584
H  0.925  0.842  0.772
H  0.925  0.084  0.654
H  0.584  0.930  0.658
H  0.228  0.658  0.075
H  0.842  0.916  0.070
H  0.728  0.575  0.158
H  0.846  0.575  0.916
H  0.654  0.070  0.228
H  0.342  0.772  0.425
H  0.228  0.570  0.654
La  0.375  0.250  0.125
La  0.125  0.750  0.375
La  0.250  0.875  0.125
La  0.125  0.375  0.250
La  0.000  0.500  0.000
La  0.750  0.125  0.875
La  0.500  0.000  0.000
La  0.000  0.500  0.500
La  0.500  0.000  0.500
La  0.500  0.500  0.000
La  0.000  0.000  0.500
La  0.250  0.375  0.625
La  0.375  0.125  0.750
La  0.625  0.875  0.250
La  0.500  0.500  0.500
La  0.875  0.625  0.750
La  0.750  0.625  0.375
La  0.000  0.000  0.000
La  0.875  0.250  0.625
La  0.625  0.750  0.875
Pr  0.250  0.625  0.875
Pr  0.125  0.250  0.875
Pr  0.250  0.125  0.375
Pr  0.625  0.375  0.750
Pr  0.375  0.750  0.625
Pr  0.375  0.625  0.250
Pr  0.750  0.875  0.625
Pr  0.625  0.250  0.375
Pr  0.750  0.375  0.125
Pr  0.125  0.875  0.750
Pr  0.875  0.125  0.250
Pr  0.875  0.750  0.125

---

[15]
Tb3Pm2Tm2: optimized geometry, PBE-GGA.

Calculated values
For the formation energy, the calculation gives 0.041 eV per atom.

Unit cell a=3.534 b=13.113 c=5.488 alpha=77.93 beta=89.99 gamma=113.82
Positions (direct):
Pm  0.741  0.161  0.420
Pm  0.259  0.839  0.580
Tb  0.324  0.549  0.725
Tb  0.000  0.000  0.000
Tb  0.676  0.451  0.275
Tm  0.431  0.287  0.856
Tm  0.569  0.713  0.144

---

[16]
Ba2ZnCdN: optimized geometry, PBE-GGA.

Calculated values
Its uncorrected formation energy is -29.5 kJ/mol of atoms.

Unit cell a=4.306 b=8.042 c=9.412 alpha=112.14 beta=90.00 gamma=90.00
Positions (direct):
Ba  0.750  0.808  0.618
Ba  0.250  0.192  0.382
Ba  0.250  0.188  0.967
Ba  0.750  0.812  0.033
N  0.750  0.169  0.172
N  0.250  0.831  0.828
Zn  0.250  0.568  0.743
Zn  0.750  0.432  0.257
Cd  0.250  0.663  0.286
Cd  0.750  0.337  0.714

---

[17]
KErCuS2: optimized geometry, PBE-GGA.

Calculated values
Its uncorrected formation energy is -106.2 kJ/mol of atoms.

Unit cell a=4.580 b=7.391 c=7.761 alpha=99.60 beta=90.00 gamma=90.00
Positions (direct):
Cu  0.000  0.000  0.000
Cu  0.000  0.000  0.500
S  0.674  0.770  0.965
S  0.674  0.230  0.535
S  0.326  0.230  0.035
S  0.326  0.770  0.465
K  0.162  0.500  0.750
K  0.838  0.500  0.250
Er  0.493  0.000  0.250
Er  0.507  0.000  0.750

---

[18]
ScGeAs3: optimized geometry, PBE-GGA.

Calculated values
For the formation energy, the calculation gives 0.365 eV per atom.

Unit cell a=5.075 b=5.075 c=5.075 alpha=90.00 beta=90.00 gamma=90.00
Positions (direct):
Ge  0.500  0.500  0.500
As  0.000  0.500  0.000
As  0.000  0.000  0.500
As  0.500  0.000  0.000
Sc  0.000  0.000  0.000

---

[19]
Li2ZrIn: optimized geometry, PBE-GGA.

Calculated values
For the formation energy, the calculation gives 0.016 eV per atom.

Unit cell a=5.551 b=6.187 c=2.856 alpha=77.58 beta=87.99 gamma=116.14
Positions (direct):
In  0.500  0.500  0.000
Zr  0.000  0.500  0.500
Li  0.500  0.000  0.500
Li  0.000  0.000  0.000

---

[20]
LiPa2Te6: optimized geometry, PBE-GGA.

Calculated values
Its uncorrected formation energy is -72.1 kJ/mol of atoms.

Unit cell a=7.080 b=7.850 c=9.532 alpha=90.00 beta=89.32 gamma=90.00
Positions (direct):
Te  0.653  0.175  0.565
Te  0.323  0.544  0.741
Te  0.823  0.956  0.241
Te  0.663  0.168  0.940
Te  0.847  0.675  0.935
Te  0.163  0.332  0.440
Te  0.837  0.668  0.560
Te  0.153  0.325  0.065
Te  0.347  0.825  0.435
Te  0.677  0.456  0.259
Te  0.337  0.832  0.060
Te  0.177  0.044  0.759
Pa  0.451  0.139  0.251
Pa  0.549  0.861  0.749
Pa  0.049  0.639  0.249
Pa  0.951  0.361  0.751
Li  0.500  0.500  0.000
Li  0.000  0.000  0.500

---

[21]
CeEr5Th: optimized geometry, PBE-GGA.

Calculated values
For the formation energy, the calculation gives 0.219 eV per atom.

Unit cell a=6.048 b=9.193 c=8.655 alpha=85.70 beta=76.82 gamma=70.80
Positions (direct):
Th  0.000  0.000  0.500
Th  0.000  0.000  0.000
Er  0.543  0.688  0.459
Er  0.231  0.312  0.959
Er  0.147  0.705  0.250
Er  0.389  0.629  0.853
Er  0.611  0.371  0.147
Er  0.018  0.371  0.353
Er  0.982  0.629  0.647
Er  0.457  0.312  0.541
Er  0.853  0.295  0.750
Er  0.769  0.688  0.041
Ce  0.510  0.980  0.750
Ce  0.490  0.020  0.250